(1)
This record from Alexandria describes Li3LaIr after structural relaxation. The functional is PBE.

The structure in POSCAR format:
```
Li3LaIr
1.0
4.7079 0.0000 0.0000
0.0000 4.7079 0.0000
0.0000 0.0000 4.7079
Li La Ir
3 1 1
direct
0.0000 0.0000 0.5000
0.5000 0.0000 0.0000
0.0000 0.5000 0.0000
0.5000 0.5000 0.5000
0.0000 0.0000 0.0000
```

Summary:
The symmetry is Pm-3m, No. 221. The density of states at the Fermi level comes out at 1.2367 states/eV per atom. For the energy above the lowest structure with this stoichiometry, the calculation gives 0.0 meV/atom.

---

(2)
This record from Alexandria describes NaTlOsO4 after structural relaxation. The functional is PBE.

The structure in POSCAR format:
```
NaTlOsO4
1.0
6.2114 0.0000 0.0000
0.0000 6.2114 0.0000
-3.1057 -3.1057 3.9126
O Na Tl Os
4 1 1 1
direct
0.4681 0.5916 0.6496
0.9421 0.5319 0.3504
0.4084 0.8185 0.3504
0.1815 0.0579 0.6496
0.5000 0.5000 0.0000
0.0000 0.0000 0.0000
0.2500 0.7500 0.5000
```

Summary:
The symmetry is I-4, No. 82. For the formation energy (no corrections), the calculation gives -1.0707 eV/atom.

---

(3)
This record from Alexandria describes KTe7Au2 after structural relaxation. The functional is PBE.

The structure in POSCAR format:
```
KTe7Au2
1.0
5.4201 0.0000 0.0000
0.0000 8.3119 0.1024
0.0000 -3.5749 7.5045
Te Au K
7 2 1
direct
0.5000 0.5000 0.5000
0.0000 0.7573 0.2427
0.5000 0.9439 0.7236
0.0000 0.2427 0.7573
0.5000 0.7236 0.9439
0.5000 0.2764 0.0561
0.5000 0.0561 0.2764
0.5000 0.2989 0.7011
0.5000 0.7011 0.2989
0.0000 0.0000 0.0000
```

Summary:
The symmetry is Cmmm, No. 65. For the formation energy (no corrections), the calculation gives 0.0707 eV/atom. The density of states at the Fermi level comes out at 1.0108 states/eV per atom.

---

Looking at magnetization for the records above, in order, we have 0.00; 0.00; 0.00 μB per formula unit.